[1]
The following is a DFT calculation (PBE) of a relaxed Co2SiS crystal.

Cell: 4.9297 4.9297 10.3809 Å, 90.00 90.00 90.00°
Space group I-42d (No. 122)
Inequivalent atoms, fractional coordinates:
Co  0.2272  0.2500  0.1250 x8
Si  0.0000  0.0000  0.5000 x4
S  0.0000  0.0000  0.0000 x4

Calculated values
density of states at the Fermi level: 0.747 states/eV/atom
ΔE to the lowest computed polymorph: 0 kJ/mol of formula units
magnetization: 0.0 μB/f.u.
formation energy from raw total energies: -1 kJ per mole of atoms

[2]
The following is a DFT calculation (PBE) of a relaxed CoSi3S crystal.

Cell: 4.3846 4.3846 4.3846 Å, 90.00 90.00 90.00°
Space group Pm-3m (No. 221)
Inequivalent atoms, fractional coordinates:
Co  0.0000  0.0000  0.0000 x1
Si  0.0000  0.5000  0.5000 x3
S  0.5000  0.5000  0.5000 x1

Calculated values
density of states at the Fermi level: 0.769 states/eV/atom
ΔE to the lowest computed polymorph: 498 kJ/mol of formula units
magnetization: 0.0 μB/f.u.
formation energy from raw total energies: 115 kJ per mole of atoms

[3]
The following is a DFT calculation (PBE) of a relaxed Co2SiS crystal.

Cell: 5.7178 5.7178 5.7178 Å, 90.00 90.00 90.00°
Space group Fm-3m (No. 225)
Inequivalent atoms, fractional coordinates:
Co  0.2500  0.2500  0.2500 x8
Si  0.0000  0.0000  0.0000 x4
S  0.0000  0.0000  0.5000 x4

Calculated values
density of states at the Fermi level: 1.303 states/eV/atom
ΔE to the lowest computed polymorph: 34 kJ/mol of formula units
magnetization: 1.8 μB/f.u.
formation energy from raw total energies: 7 kJ per mole of atoms

[4]
The following is a DFT calculation (PBE) of a relaxed CoSiS crystal.

Cell: 4.6622 4.3951 9.2906 Å, 90.00 95.61 90.00°
Space group C2/m (No. 12)
Inequivalent atoms, fractional coordinates:
Co  0.2180  0.0000  0.4209 x4
Si  0.2423  0.5000  0.3258 x4
S  0.1640  0.5000  0.8106 x4

Calculated values
density of states at the Fermi level: 1.057 states/eV/atom
magnetization: 0.4 μB/f.u.
formation energy from raw total energies: -12 kJ per mole of atoms